Density functional theory data (PBE) for crystalline CsScSb at its relaxed geometry.

Geometry as POSCAR:
```
CsScSb
1.0
4.8819 0.0000 0.0000
0.0004 4.8820 0.0000
0.1942 0.2523 12.4977
Cs Sc Sb
2 2 2
Direct
0.2380 0.2343 0.2926
0.7620 0.7657 0.7074
0.2498 0.7502 0.0000
0.7502 0.2498 0.0000
0.2554 0.2570 0.8705
0.7446 0.7430 0.1295
```

Values from the calculation:
The calculation puts the uncorrected formation energy at -0.62 eV/atom. The total moment comes out at 0.83 μB/cell. For the density of states at the Fermi level, the calculation gives 5.005 states/eV/cell.